CsLaSi3 | PBE-GGA | relaxed

SG   Pm-3m (221)
ΔE to the lowest computed polymorph   725 meV per atom
Magnetization   0.00 μB/f.u.
Uncorrected formation energy   7.6 eV per formula unit
Final energy   -2.897 eV per atom

```
CsLaSi3
1.0
5.3811 0.0000 0.0000
0.0000 5.3811 0.0000
0.0000 0.0000 5.3811
Cs La Si
1 1 3
Direct
0.0000 0.0000 0.0000
0.5000 0.5000 0.5000
0.0000 0.0000 0.5000
0.0000 0.5000 0.0000
0.5000 0.0000 0.0000
```

CsLaSi2 | PBE-GGA | relaxed

SG   Fm-3m (225)
ΔE to the lowest computed polymorph   31 meV per atom
Magnetization   0.00 μB/f.u.
Uncorrected formation energy   1.7 eV per formula unit
Final energy   -3.741 eV per atom

```
CsLaSi2
1.0
7.8128 0.0000 0.0000
0.0000 7.8128 0.0000
0.0000 0.0000 7.8128
Cs La Si
4 4 8
Direct
0.0000 0.0000 0.0000
0.0000 0.5000 0.5000
0.5000 0.0000 0.5000
0.5000 0.5000 0.0000
0.0000 0.0000 0.5000
0.0000 0.5000 0.0000
0.5000 0.0000 0.0000
0.5000 0.5000 0.5000
0.2500 0.2500 0.2500
0.2500 0.2500 0.7500
0.2500 0.7500 0.2500
0.2500 0.7500 0.7500
0.7500 0.2500 0.2500
0.7500 0.2500 0.7500
0.7500 0.7500 0.2500
0.7500 0.7500 0.7500
```

CsLaSi2 | PBE-GGA | relaxed

SG   I4_1/amd (141)
ΔE to the lowest computed polymorph   0 meV per atom
Magnetization   0.00 μB/f.u.
Uncorrected formation energy   1.5 eV per formula unit
Final energy   -3.771 eV per atom

```
CsLaSi2
1.0
5.3541 0.0000 0.0000
0.0000 5.3541 0.0000
0.0000 0.0000 21.0975
Cs La Si
4 4 8
Direct
0.0000 0.2500 0.3750
0.0000 0.7500 0.6250
0.5000 0.2500 0.1250
0.5000 0.7500 0.8750
0.0000 0.2500 0.8750
0.0000 0.7500 0.1250
0.5000 0.2500 0.6250
0.5000 0.7500 0.3750
0.0000 0.0000 0.0000
0.0000 0.5000 0.0000
0.2500 0.2500 0.7500
0.2500 0.7500 0.2500
0.5000 0.0000 0.5000
0.5000 0.5000 0.5000
0.7500 0.2500 0.7500
0.7500 0.7500 0.2500
```